Here is a relaxed structure of ZrCoHRh2 from Alexandria. Energies are from GGA-PBE.

The structure belongs to space group P4/mmm (No. 123); the cell edges are 3.968, 3.968 and 3.867 Å and the angles 90.00°, 90.00° and 90.00°. The distinct sites, in fractional coordinates, are Zr at (0.000, 0.000, 0.000), Co at (0.500, 0.500, 0.000), H at (0.500, 0.500, 0.500) and Rh at (0.000, 0.500, 0.500).

As for the total magnetic moment: 0.0000 μB per atom. For the energy, the calculation gives -7.219 eV/atom. As for the polymorph energy (0 for the lowest one): 0.000 eV/atom.


Here is a relaxed structure of ZrCo2HRh from Alexandria. Energies are from GGA-PBE.

The structure belongs to space group P4/mmm (No. 123); the cell edges are 3.759, 3.759 and 4.121 Å and the angles 90.00°, 90.00° and 90.00°. The distinct sites, in fractional coordinates, are Zr at (0.000, 0.000, 0.000), Co at (0.000, 0.500, 0.500), H at (0.000, 0.000, 0.500) and Rh at (0.500, 0.500, 0.000).

As for the total magnetic moment: 0.3359 μB per atom. For the energy, the calculation gives -6.984 eV/atom. As for the polymorph energy (0 for the lowest one): 0.037 eV/atom.


Here is a relaxed structure of ZrCoHRh2 from Alexandria. Energies are from GGA-PBE.

The structure belongs to space group P4/mmm (No. 123); the cell edges are 3.904, 3.904 and 4.103 Å and the angles 90.00°, 90.00° and 90.00°. The distinct sites, in fractional coordinates, are Zr at (0.000, 0.000, 0.000), Co at (0.500, 0.500, 0.000), H at (0.000, 0.000, 0.500) and Rh at (0.000, 0.500, 0.500).

As for the total magnetic moment: 0.2856 μB per atom. For the energy, the calculation gives -7.120 eV/atom. As for the polymorph energy (0 for the lowest one): 0.099 eV/atom.


Here is a relaxed structure of ZrCo2HRh from Alexandria. Energies are from GGA-PBE.

The structure belongs to space group P4/mmm (No. 123); the cell edges are 3.843, 3.843 and 3.868 Å and the angles 90.00°, 90.00° and 90.00°. The distinct sites, in fractional coordinates, are Zr at (0.000, 0.000, 0.000), Co at (0.000, 0.500, 0.500), H at (0.500, 0.500, 0.500) and Rh at (0.500, 0.500, 0.000).

As for the total magnetic moment: 0.0002 μB per atom. For the energy, the calculation gives -7.021 eV/atom. As for the polymorph energy (0 for the lowest one): 0.000 eV/atom.


Here is a relaxed structure of Co2HRu from Alexandria. Energies are from GGA-PBE.

The structure belongs to space group R3m (No. 160, hexagonal axes); the cell edges are 2.6354, 2.6354 and 18.8146 Å and the angles 90.00°, 90.00° and 120.00°. The distinct sites, in fractional coordinates, are Co at (0.0000, 0.0000, 0.0000), Co at (0.0000, 0.0000, 0.2200), H at (0.0000, 0.0000, 0.6103) and Ru at (0.0000, 0.0000, 0.4428).

As for the total magnetic moment: 0.6620 μB per atom. For the energy, the calculation gives -6.629 eV/atom. As for the polymorph energy (0 for the lowest one): 0.003 eV/atom.


Here is a relaxed structure of CoH2Ru2 from Alexandria. Energies are from GGA-PBE.

The structure belongs to space group I4/mmm (No. 139); the cell edges are 2.874, 2.874 and 10.944 Å and the angles 90.00°, 90.00° and 90.00°. The distinct sites, in fractional coordinates, are Co at (0.000, 0.000, 0.000), H at (0.000, 0.500, 0.250) and Ru at (0.000, 0.000, 0.357).

As for the total magnetic moment: 0.4606 μB per atom. For the energy, the calculation gives -6.229 eV/atom. As for the polymorph energy (0 for the lowest one): 0.000 eV/atom.


Here is a relaxed structure of CoHRu2 from Alexandria. Energies are from GGA-PBE.

The structure belongs to space group I-42d (No. 122); the cell edges are 5.848, 5.848 and 4.982 Å and the angles 90.00°, 90.00° and 90.00°. The distinct sites, in fractional coordinates, are Co at (0.000, 0.000, 0.000), H at (0.000, 0.000, 0.500) and Ru at (0.162, 0.250, 0.625).

As for the total magnetic moment: 0.3956 μB per atom. For the energy, the calculation gives -6.925 eV/atom. As for the polymorph energy (0 for the lowest one): 0.000 eV/atom.


Here is a relaxed structure of Co2HRu from Alexandria. Energies are from GGA-PBE.

The structure belongs to space group R-3m (No. 166, hexagonal axes); the cell edges are 2.6298, 2.6298 and 18.8993 Å and the angles 90.00°, 90.00° and 120.00°. The distinct sites, in fractional coordinates, are Co at (0.0000, 0.0000, 0.2220), H at (0.0000, 0.0000, 0.5000) and Ru at (0.0000, 0.0000, 0.0000).

As for the total magnetic moment: 0.6872 μB per atom. For the energy, the calculation gives -6.633 eV/atom. As for the polymorph energy (0 for the lowest one): 0.000 eV/atom.